1.
AcPrIrO6: relaxed, PBE-GGA.

## Properties
- ρ (Mg/m³) = 7.69
- E (eV per cell) = -132.644
- formation energy from raw total energies (meV per atom) = -2092
- magnetic moment (Bohr magnetons per cell) = 5.8

a b c (Å): 5.8845 5.8845 9.4490
angles (deg): 90.00 90.00 120.00
Last column: nearest neighbours and their distance in Å.
Atoms (fractional coordinates):
Ac 0.3333 0.6667 0.2500  6 O 2.48
Ac 0.6667 0.3333 0.7500  6 O 2.48
Pr 0.0000 0.0000 0.0000  6 O 2.43
Pr 0.0000 0.0000 0.5000  6 O 2.43
Ir 0.3333 0.6667 0.7500  6 O 1.97
Ir 0.6667 0.3333 0.2500  6 O 1.97
O 0.0665 0.3821 0.6329  1 Ir 1.97
O 0.0665 0.6845 0.8671  1 Ir 1.97
O 0.3155 0.3821 0.8671  1 Ir 1.97
O 0.3155 0.9335 0.6329  1 Ir 1.97
O 0.3821 0.0665 0.1329  1 Ir 1.97
O 0.3821 0.3155 0.3671  1 Ir 1.97
O 0.6179 0.6845 0.6329  1 Ir 1.97
O 0.6179 0.9335 0.8671  1 Ir 1.97
O 0.6845 0.0665 0.3671  1 Ir 1.97
O 0.6845 0.6179 0.1329  1 Ir 1.97
O 0.9335 0.3155 0.1329  1 Ir 1.97
O 0.9335 0.6179 0.3671  1 Ir 1.97



2.
AcIrPtO6: relaxed, PBE-GGA.

## Properties
- ρ (Mg/m³) = 9.76
- E (eV per cell) = -120.374
- formation energy from raw total energies (meV per atom) = -1270
- magnetic moment (Bohr magnetons per cell) = 1.7

a b c (Å): 6.9950 6.9950 6.9950
angles (deg): 121.17 118.96 89.90
Last column: nearest neighbours and their distance in Å.
Atoms (fractional coordinates):
Ac 0.3800 0.1300 0.2500  6 O 2.64-2.91
Ac 0.6200 0.8700 0.7500  6 O 2.64-2.91
Ir 0.0000 0.5000 0.5000  6 O 1.93-1.96
Ir 0.5000 0.5000 0.0000  6 O 1.93-1.96
Pt 0.0000 0.0000 0.5000  6 O 2.02-2.05
Pt 0.0000 0.5000 0.0000  6 O 2.02-2.05
O 0.1120 0.4228 0.2695  1 Ir 1.96, 1 Pt 2.02
O 0.1120 0.8425 0.6893  1 Ir 1.96, 1 Pt 2.02
O 0.1136 0.8636 0.2500  2 Pt 2.05
O 0.3265 0.5765 0.7500  2 Ir 1.93
O 0.3468 0.1575 0.7695  1 Ir 1.96, 1 Pt 2.02
O 0.3468 0.5772 0.1893  1 Ir 1.96, 1 Pt 2.02
O 0.6532 0.4228 0.8107  1 Ir 1.96, 1 Pt 2.02
O 0.6532 0.8425 0.2305  1 Ir 1.96, 1 Pt 2.02
O 0.6735 0.4235 0.2500  2 Ir 1.93
O 0.8864 0.1364 0.7500  2 Pt 2.05
O 0.8880 0.1575 0.3107  1 Ir 1.96, 1 Pt 2.02
O 0.8880 0.5772 0.7305  1 Ir 1.96, 1 Pt 2.02



3.
Ac5IrPt2O: relaxed, PBE-GGA.

## Properties
- ρ (Mg/m³) = 10.73
- E (eV per cell) = -115.918
- formation energy from raw total energies (meV per atom) = -1280
- magnetic moment (Bohr magnetons per cell) = 0.0

a b c (Å): 9.4206 9.4206 13.4965
angles (deg): 90.00 90.00 153.40
Last column: nearest neighbours and their distance in Å.
Atoms (fractional coordinates):
Ac 0.0050 0.9950 0.5000  1 O 2.40
Ac 0.1460 0.8540 0.7510  1 Ir 2.91, 4 Pt 3.21-3.24
Ac 0.1884 0.8116 0.1207  1 O 2.60
Ac 0.2114 0.7886 0.4217  2 Ir 2.98
Ac 0.4663 0.5337 0.7405  2 O 2.43
Ac 0.5337 0.4663 0.2405  2 O 2.43
Ac 0.7886 0.2114 0.9217  2 Ir 2.98
Ac 0.8116 0.1884 0.6207  1 O 2.60
Ac 0.8540 0.1460 0.2510  1 Ir 2.91, 4 Pt 3.21-3.24
Ac 0.9950 0.0050 0.0000  1 O 2.40
Ir 0.3042 0.6958 0.7721  6 Ac 2.91-3.00
Ir 0.6958 0.3042 0.2721  6 Ac 2.91-3.00
Pt 0.3737 0.6263 0.0750  7 Ac 3.24-3.45
Pt 0.3966 0.6034 0.4162  6 Ac 3.15-3.46
Pt 0.6034 0.3966 0.9162  6 Ac 3.15-3.46
Pt 0.6263 0.3737 0.5750  7 Ac 3.24-3.45
O 0.0496 0.9504 0.1616  4 Ac 2.40-2.60
O 0.9504 0.0496 0.6616  4 Ac 2.40-2.60



4.
AcPuIrO6: relaxed, PBE-GGA.

## Properties
- ρ (Mg/m³) = 9.81
- E (eV per cell) = -153.301
- formation energy from raw total energies (meV per atom) = -2178
- magnetic moment (Bohr magnetons per cell) = 4.0

a b c (Å): 5.6201 5.6201 9.3962
angles (deg): 90.00 90.00 120.00
Last column: nearest neighbours and their distance in Å.
Atoms (fractional coordinates):
Ac 0.3333 0.6667 0.2500  6 O 2.50
Ac 0.6667 0.3333 0.7500  6 O 2.50
Pu 0.0000 0.0000 0.0000  6 O 2.16
Pu 0.0000 0.0000 0.5000  6 O 2.16
Ir 0.3333 0.6667 0.7500  6 O 2.04
Ir 0.6667 0.3333 0.2500  6 O 2.04
O 0.0667 0.3524 0.6227  1 Ir 2.04, 1 Pu 2.16
O 0.0667 0.7143 0.8773  1 Ir 2.04, 1 Pu 2.16
O 0.2857 0.3524 0.8773  1 Ir 2.04, 1 Pu 2.16
O 0.2857 0.9333 0.6227  1 Ir 2.04, 1 Pu 2.16
O 0.3524 0.0667 0.1227  1 Ir 2.04, 1 Pu 2.16
O 0.3524 0.2857 0.3773  1 Ir 2.04, 1 Pu 2.16
O 0.6476 0.7143 0.6227  1 Ir 2.04, 1 Pu 2.16
O 0.6476 0.9333 0.8773  1 Ir 2.04, 1 Pu 2.16
O 0.7143 0.0667 0.3773  1 Ir 2.04, 1 Pu 2.16
O 0.7143 0.6476 0.1227  1 Ir 2.04, 1 Pu 2.16
O 0.9333 0.2857 0.1227  1 Ir 2.04, 1 Pu 2.16
O 0.9333 0.6476 0.3773  1 Ir 2.04, 1 Pu 2.16



5.
Rb2AcIr3O12: relaxed, PBE-GGA.

## Properties
- ρ (Mg/m³) = 7.19
- E (eV per cell) = -113.185
- formation energy from raw total energies (meV per atom) = -1170
- magnetic moment (Bohr magnetons per cell) = 3.3

a b c (Å): 7.0720 7.0720 7.0720
angles (deg): 63.53 63.53 63.53
Last column: nearest neighbours and their distance in Å.
Atoms (fractional coordinates):
Rb 0.1021 0.1021 0.1021  6 O 2.77-2.96
Rb 0.8979 0.8979 0.8979  6 O 2.77-2.96
Ac 0.5000 0.5000 0.5000  12 O 2.65-2.93
Ir 0.0000 0.5000 0.5000  6 O 1.85-1.99
Ir 0.5000 0.0000 0.5000  6 O 1.85-1.99
Ir 0.5000 0.5000 0.0000  6 O 1.85-1.99
O 0.0606 0.6321 0.6321  1 Ir 1.85
O 0.2282 0.2282 0.6123  2 Ir 1.99
O 0.2282 0.6123 0.2282  2 Ir 1.99
O 0.3679 0.3679 0.9394  1 Ir 1.85
O 0.3679 0.9394 0.3679  1 Ir 1.85
O 0.3877 0.7718 0.7718  2 Ir 1.99
O 0.6123 0.2282 0.2282  2 Ir 1.99
O 0.6321 0.0606 0.6321  1 Ir 1.85
O 0.6321 0.6321 0.0606  1 Ir 1.85
O 0.7718 0.3877 0.7718  2 Ir 1.99
O 0.7718 0.7718 0.3877  2 Ir 1.99
O 0.9394 0.3679 0.3679  1 Ir 1.85



6.
RbAc2IrO8: relaxed, PBE-GGA.

## Properties
- ρ (Mg/m³) = 7.87
- E (eV per cell) = -79.703
- formation energy from raw total energies (meV per atom) = -1833
- magnetic moment (Bohr magnetons per cell) = 1.4

a b c (Å): 4.4407 5.4785 7.7621
angles (deg): 90.00 106.17 90.00
Last column: nearest neighbours and their distance in Å.
Atoms (fractional coordinates):
Rb 0.0000 0.0000 0.0000  8 O 2.84-3.13
Ac 0.3760 0.5000 0.7095  10 O 2.61-2.74
Ac 0.6240 0.5000 0.2905  10 O 2.61-2.74
Ir 0.0000 0.0000 0.5000  6 O 1.92-1.94
O 0.1648 0.5000 0.9957  1 O 1.48
O 0.1877 0.2612 0.3966  1 Ir 1.94
O 0.1877 0.7388 0.3966  1 Ir 1.94
O 0.3411 0.0000 0.7163  1 Ir 1.92
O 0.6589 0.0000 0.2837  1 Ir 1.92
O 0.8123 0.2612 0.6034  1 Ir 1.94
O 0.8123 0.7388 0.6034  1 Ir 1.94
O 0.8352 0.5000 0.0043  1 O 1.48



7.
RbAcIrO4: relaxed, PBE-GGA.

## Properties
- ρ (Mg/m³) = 7.53
- E (eV per cell) = -91.496
- formation energy from raw total energies (meV per atom) = -1711
- magnetic moment (Bohr magnetons per cell) = 0.8

a b c (Å): 7.0323 7.0323 7.0323
angles (deg): 123.55 111.81 94.36
Last column: nearest neighbours and their distance in Å.
Atoms (fractional coordinates):
Rb 0.3968 0.1468 0.2500  2 O 2.54
Rb 0.6032 0.8532 0.7500  2 O 2.54
Ac 0.0000 0.5000 0.5000  6 O 2.48-2.53
Ac 0.5000 0.5000 0.0000  6 O 2.48-2.53
Ir 0.0000 0.0000 0.5000  6 O 2.07-2.08
Ir 0.0000 0.5000 0.0000  6 O 2.07-2.08
O 0.1545 0.2458 0.9087  2 Ir 2.08
O 0.1630 0.7542 0.4087  2 Ir 2.08
O 0.2153 0.2449 0.5296  1 Ir 2.07
O 0.2153 0.6856 0.9704  1 Ir 2.07
O 0.7847 0.3144 0.0296  1 Ir 2.07
O 0.7847 0.7551 0.4704  1 Ir 2.07
O 0.8370 0.2458 0.5913  2 Ir 2.08
O 0.8455 0.7542 0.0913  2 Ir 2.08



8.
RbAcIrO6: relaxed, PBE-GGA.

## Properties
- ρ (Mg/m³) = 5.41
- E (eV per cell) = -56.685
- formation energy from raw total energies (meV per atom) = -1444
- magnetic moment (Bohr magnetons per cell) = 0.8

a b c (Å): 5.9577 5.9577 5.9951
angles (deg): 90.00 90.00 120.00
Last column: nearest neighbours and their distance in Å.
Atoms (fractional coordinates):
Rb 0.0000 0.0000 0.0000  6 O 2.97
Ac 0.3333 0.6667 0.5000  6 O 2.44
Ir 0.6667 0.3333 0.5000  6 O 1.90
O 0.4097 0.0657 0.6806  1 Ir 1.90
O 0.4097 0.3440 0.3194  1 Ir 1.90
O 0.6560 0.0657 0.3194  1 Ir 1.90
O 0.6560 0.5903 0.6806  1 Ir 1.90
O 0.9343 0.3440 0.6806  1 Ir 1.90
O 0.9343 0.5903 0.3194  1 Ir 1.90



9.
Rb4Ac3IrO8: relaxed, PBE-GGA.

## Properties
- ρ (Mg/m³) = 7.09
- E (eV per cell) = -96.030
- formation energy from raw total energies (meV per atom) = -1957
- magnetic moment (Bohr magnetons per cell) = 0.0

a b c (Å): 7.8752 7.8752 7.8752
angles (deg): 56.13 56.13 56.13
Last column: nearest neighbours and their distance in Å.
Atoms (fractional coordinates):
Rb 0.0000 0.0000 0.0000  6 O 3.15
Rb 0.0000 0.5000 0.5000  6 O 2.94-2.96
Rb 0.5000 0.0000 0.5000  6 O 2.94-2.96
Rb 0.5000 0.5000 0.0000  6 O 2.94-2.96
Ac 0.0000 0.0000 0.5000  6 O 2.49-2.54
Ac 0.0000 0.5000 0.0000  6 O 2.49-2.54
Ac 0.5000 0.0000 0.0000  6 O 2.49-2.54
Ir 0.5000 0.5000 0.5000  6 O 2.28
O 0.2304 0.2304 0.2304  3 Ac 2.49
O 0.2571 0.7119 0.7119  1 Ir 2.28, 2 Ac 2.54
O 0.2881 0.2881 0.7429  1 Ir 2.28, 2 Ac 2.54
O 0.2881 0.7429 0.2881  1 Ir 2.28, 2 Ac 2.54
O 0.7119 0.2571 0.7119  1 Ir 2.28, 2 Ac 2.54
O 0.7119 0.7119 0.2571  1 Ir 2.28, 2 Ac 2.54
O 0.7429 0.2881 0.2881  1 Ir 2.28, 2 Ac 2.54
O 0.7696 0.7696 0.7696  3 Ac 2.49



10.
AcIrRh2O8: relaxed, PBE-GGA.

## Properties
- ρ (Mg/m³) = 8.23
- E (eV per cell) = -80.672
- formation energy from raw total energies (meV per atom) = -1111
- magnetic moment (Bohr magnetons per cell) = 0.7

a b c (Å): 4.7391 4.7686 6.7268
angles (deg): 89.93 89.94 88.45
Last column: nearest neighbours and their distance in Å.
Atoms (fractional coordinates):
Ac 0.0000 0.0000 0.0000  6 O 2.33-2.39
Ir 0.0000 0.0000 0.5000  6 O 1.96-2.06
Rh 0.5000 0.5001 0.2621  6 O 1.98-2.10
Rh 0.5000 0.4999 0.7379  6 O 1.98-2.10
O 0.2319 0.8234 0.7084  1 Ir 1.96, 1 Rh 1.98
O 0.2328 0.8243 0.2915  1 Ir 1.96, 1 Rh 1.98
O 0.2759 0.3277 0.5001  1 Ir 2.06, 2 Rh 2.10
O 0.2964 0.3823 0.0006  2 Rh 2.09-2.10, 1 O 2.26, 1 Ac 2.33
O 0.7036 0.6177 0.9994  2 Rh 2.09-2.10, 1 O 2.26, 1 Ac 2.33
O 0.7241 0.6723 0.4999  1 Ir 2.06, 2 Rh 2.10
O 0.7672 0.1757 0.7085  1 Ir 1.96, 1 Rh 1.98
O 0.7681 0.1766 0.2916  1 Ir 1.96, 1 Rh 1.98



11.
Ac5Ir2RhO: relaxed, PBE-GGA.

## Properties
- ρ (Mg/m³) = 10.61
- E (eV per cell) = -119.577
- formation energy from raw total energies (meV per atom) = -1024
- magnetic moment (Bohr magnetons per cell) = 0.0

a b c (Å): 9.7148 9.7148 12.2972
angles (deg): 90.00 90.00 153.77
Last column: nearest neighbours and their distance in Å.
Atoms (fractional coordinates):
Ac 0.0071 0.9929 0.5000  1 O 2.43
Ac 0.1468 0.8532 0.7521  1 Rh 2.96, 2 Ir 3.10
Ac 0.1735 0.8265 0.1029  1 O 2.60
Ac 0.2121 0.7879 0.4252  2 Rh 2.97, 2 Ir 3.00
Ac 0.4630 0.5370 0.7609  2 O 2.42
Ac 0.5370 0.4630 0.2609  2 O 2.42
Ac 0.7879 0.2121 0.9252  2 Rh 2.97, 2 Ir 3.00
Ac 0.8265 0.1735 0.6029  1 O 2.60
Ac 0.8532 0.1468 0.2521  1 Rh 2.96, 2 Ir 3.10
Ac 0.9929 0.0071 0.0000  1 O 2.43
Ir 0.3842 0.6158 0.9978  5 Ac 3.00-3.27, 1 Rh 3.25
Ir 0.3904 0.6096 0.4201  8 Ac 3.10-3.39
Ir 0.6096 0.3904 0.9201  8 Ac 3.10-3.39
Ir 0.6158 0.3842 0.4978  5 Ac 3.00-3.27, 1 Rh 3.25
Rh 0.3029 0.6971 0.7652  6 Ac 2.96-3.03, 1 Ir 3.25
Rh 0.6971 0.3029 0.2652  6 Ac 2.96-3.03, 1 Ir 3.25
O 0.0455 0.9545 0.1802  4 Ac 2.42-2.60
O 0.9545 0.0455 0.6802  4 Ac 2.42-2.60



12.
Ac2IrRhO6: relaxed, PBE-GGA.

## Properties
- ρ (Mg/m³) = 10.07
- E (eV per cell) = -145.831
- formation energy from raw total energies (meV per atom) = -1874
- magnetic moment (Bohr magnetons per cell) = 0.0

a b c (Å): 10.6073 10.6073 10.6073
angles (deg): 30.87 30.87 30.87
Last column: nearest neighbours and their distance in Å.
Atoms (fractional coordinates):
Ac 0.1210 0.1210 0.1210  9 O 2.62-2.82
Ac 0.2787 0.2787 0.2787  9 O 2.62-2.84
Ac 0.7213 0.7213 0.7213  9 O 2.62-2.84
Ac 0.8790 0.8790 0.8790  9 O 2.62-2.82
Ir 0.0000 0.0000 0.0000  6 O 2.05
Ir 0.5000 0.5000 0.5000  6 O 2.10
Rh 0.4096 0.4096 0.4096  6 O 2.01-2.10
Rh 0.5904 0.5904 0.5904  6 O 2.01-2.10
O 0.1292 0.6177 0.6177  1 Ir 2.10, 1 Rh 2.10
O 0.1953 0.1953 0.7552  1 Rh 2.01, 1 Ir 2.05
O 0.1953 0.7552 0.1953  1 Rh 2.01, 1 Ir 2.05
O 0.2448 0.8047 0.8047  1 Rh 2.01, 1 Ir 2.05
O 0.3823 0.3823 0.8708  1 Ir 2.10, 1 Rh 2.10
O 0.3823 0.8708 0.3823  1 Ir 2.10, 1 Rh 2.10
O 0.6177 0.1292 0.6177  1 Ir 2.10, 1 Rh 2.10
O 0.6177 0.6177 0.1292  1 Ir 2.10, 1 Rh 2.10
O 0.7552 0.1953 0.1953  1 Rh 2.01, 1 Ir 2.05
O 0.8047 0.2448 0.8047  1 Rh 2.01, 1 Ir 2.05
O 0.8047 0.8047 0.2448  1 Rh 2.01, 1 Ir 2.05
O 0.8708 0.3823 0.3823  1 Ir 2.10, 1 Rh 2.10



Copy entry 3 word for word.
Ac5IrPt2O: relaxed, PBE-GGA.

## Properties
- ρ (Mg/m³) = 10.73
- E (eV per cell) = -115.918
- formation energy from raw total energies (meV per atom) = -1280
- magnetic moment (Bohr magnetons per cell) = 0.0

a b c (Å): 9.4206 9.4206 13.4965
angles (deg): 90.00 90.00 153.40
Last column: nearest neighbours and their distance in Å.
Atoms (fractional coordinates):
Ac 0.0050 0.9950 0.5000  1 O 2.40
Ac 0.1460 0.8540 0.7510  1 Ir 2.91, 4 Pt 3.21-3.24
Ac 0.1884 0.8116 0.1207  1 O 2.60
Ac 0.2114 0.7886 0.4217  2 Ir 2.98
Ac 0.4663 0.5337 0.7405  2 O 2.43
Ac 0.5337 0.4663 0.2405  2 O 2.43
Ac 0.7886 0.2114 0.9217  2 Ir 2.98
Ac 0.8116 0.1884 0.6207  1 O 2.60
Ac 0.8540 0.1460 0.2510  1 Ir 2.91, 4 Pt 3.21-3.24
Ac 0.9950 0.0050 0.0000  1 O 2.40
Ir 0.3042 0.6958 0.7721  6 Ac 2.91-3.00
Ir 0.6958 0.3042 0.2721  6 Ac 2.91-3.00
Pt 0.3737 0.6263 0.0750  7 Ac 3.24-3.45
Pt 0.3966 0.6034 0.4162  6 Ac 3.15-3.46
Pt 0.6034 0.3966 0.9162  6 Ac 3.15-3.46
Pt 0.6263 0.3737 0.5750  7 Ac 3.24-3.45
O 0.0496 0.9504 0.1616  4 Ac 2.40-2.60
O 0.9504 0.0496 0.6616  4 Ac 2.40-2.60